[1]
# GGA-PBEsol YMnSb, optimized geometry
data_YMnSb
_chemical_formula_sum 'Y1 Mn1 Sb1'
_space_group_name_H-M_alt 'P 1'
_space_group_IT_number 1
_space_group_name_Hall 'P 1'
_cell_length_a 3.859
_cell_length_b 4.443
_cell_length_c 4.443
_cell_angle_alpha 120.00
_cell_angle_beta 90.00
_cell_angle_gamma 90.00
loop_
_atom_site_label
_atom_site_type_symbol
_atom_site_fract_x
_atom_site_fract_y
_atom_site_fract_z
Sb1 Sb 0.000 0.333 0.667
Y1 Y 0.500 0.667 0.333
Mn1 Mn 0.000 0.000 0.000
# - DFT total energy: -22.2 eV per cell
# - Raw formation energy: -0.34 eV/atom
# - Density of states at the Fermi level: 4.23 states/eV/f.u.
# - ρ: 6.69 g/cm3
# - Total moment: 3.23 μB/f.u.

[2]
# GGA-PBEsol YMn4Sb, optimized geometry
data_YMn4Sb
_chemical_formula_sum 'Y1 Mn4 Sb1'
_space_group_name_H-M_alt 'P 1'
_space_group_IT_number 1
_space_group_name_Hall 'P 1'
_cell_length_a 4.944
_cell_length_b 4.944
_cell_length_c 4.944
_cell_angle_alpha 60.00
_cell_angle_beta 60.00
_cell_angle_gamma 60.00
loop_
_atom_site_label
_atom_site_type_symbol
_atom_site_fract_x
_atom_site_fract_y
_atom_site_fract_z
Mn1 Mn 0.377 0.377 0.377
Mn2 Mn 0.377 0.869 0.377
Mn3 Mn 0.377 0.377 0.869
Mn4 Mn 0.869 0.377 0.377
Y1 Y 0.000 0.000 0.000
Sb1 Sb 0.750 0.750 0.750
# - DFT total energy: -49.6 eV per cell
# - Raw formation energy: 0.14 eV/atom
# - Density of states at the Fermi level: 7.90 states/eV/f.u.
# - ρ: 8.36 g/cm3
# - Total moment: 3.51 μB/f.u.

[3]
# GGA-PBEsol YMnSb4, optimized geometry
data_YMnSb4
_chemical_formula_sum 'Y1 Mn1 Sb4'
_space_group_name_H-M_alt 'P 1'
_space_group_IT_number 1
_space_group_name_Hall 'P 1'
_cell_length_a 6.108
_cell_length_b 6.108
_cell_length_c 6.108
_cell_angle_alpha 60.00
_cell_angle_beta 60.00
_cell_angle_gamma 60.00
loop_
_atom_site_label
_atom_site_type_symbol
_atom_site_fract_x
_atom_site_fract_y
_atom_site_fract_z
Mn1 Mn 0.000 0.000 0.000
Sb1 Sb 0.375 0.375 0.375
Sb2 Sb 0.876 0.375 0.375
Sb3 Sb 0.375 0.375 0.876
Sb4 Sb 0.375 0.876 0.375
Y1 Y 0.750 0.750 0.750
# - DFT total energy: -33.0 eV per cell
# - Raw formation energy: 0.31 eV/atom
# - Density of states at the Fermi level: 5.37 states/eV/f.u.
# - ρ: 6.50 g/cm3
# - Total moment: 4.42 μB/f.u.

[4]
# GGA-PBEsol MnZn2Sb, optimized geometry
data_MnZn2Sb
_chemical_formula_sum 'Mn1 Zn2 Sb1'
_space_group_name_H-M_alt 'P 1'
_space_group_IT_number 1
_space_group_name_Hall 'P 1'
_cell_length_a 3.565
_cell_length_b 3.543
_cell_length_c 5.213
_cell_angle_alpha 90.00
_cell_angle_beta 90.00
_cell_angle_gamma 90.00
loop_
_atom_site_label
_atom_site_type_symbol
_atom_site_fract_x
_atom_site_fract_y
_atom_site_fract_z
Zn1 Zn 0.000 0.000 0.769
Zn2 Zn 0.000 0.000 0.231
Mn1 Mn 0.500 0.500 0.000
Sb1 Sb 0.500 0.500 0.500
# - DFT total energy: -16.6 eV per cell
# - Raw formation energy: 0.22 eV/atom
# - Density of states at the Fermi level: 2.30 states/eV/f.u.
# - ρ: 7.75 g/cm3
# - Total moment: 2.91 μB/f.u.

[5]
# GGA-PBEsol MnZn2Sb, optimized geometry
data_MnZn2Sb
_chemical_formula_sum 'Mn1 Zn2 Sb1'
_space_group_name_H-M_alt 'P 1'
_space_group_IT_number 1
_space_group_name_Hall 'P 1'
_cell_length_a 3.071
_cell_length_b 3.071
_cell_length_c 8.573
_cell_angle_alpha 79.68
_cell_angle_beta 79.68
_cell_angle_gamma 60.00
loop_
_atom_site_label
_atom_site_type_symbol
_atom_site_fract_x
_atom_site_fract_y
_atom_site_fract_z
Zn1 Zn 0.248 0.248 0.256
Zn2 Zn 0.991 0.991 0.028
Sb1 Sb 0.756 0.756 0.731
Mn1 Mn 0.505 0.505 0.485
# - DFT total energy: -16.3 eV per cell
# - Raw formation energy: 0.29 eV/atom
# - Density of states at the Fermi level: 1.96 states/eV/f.u.
# - ρ: 7.45 g/cm3
# - Total moment: 3.06 μB/f.u.

[6]
# GGA-PBEsol MnZn2Sb, optimized geometry
data_MnZn2Sb
_chemical_formula_sum 'Mn1 Zn2 Sb1'
_space_group_name_H-M_alt 'P 1'
_space_group_IT_number 1
_space_group_name_Hall 'P 1'
_cell_length_a 3.414
_cell_length_b 3.414
_cell_length_c 5.468
_cell_angle_alpha 90.00
_cell_angle_beta 90.00
_cell_angle_gamma 90.00
loop_
_atom_site_label
_atom_site_type_symbol
_atom_site_fract_x
_atom_site_fract_y
_atom_site_fract_z
Mn1 Mn 0.000 0.000 0.505
Zn1 Zn 0.000 0.000 0.033
Zn2 Zn 0.500 0.500 0.239
Sb1 Sb 0.500 0.500 0.724
# - DFT total energy: -16.8 eV per cell
# - Raw formation energy: 0.17 eV/atom
# - Density of states at the Fermi level: 2.22 states/eV/f.u.
# - ρ: 8.01 g/cm3
# - Total moment: 2.27 μB/f.u.

[7]
# GGA-PBEsol MnZn2Sb, optimized geometry
data_MnZn2Sb
_chemical_formula_sum 'Mn1 Zn2 Sb1'
_space_group_name_H-M_alt 'P 1'
_space_group_IT_number 1
_space_group_name_Hall 'P 1'
_cell_length_a 3.046
_cell_length_b 4.502
_cell_length_c 5.627
_cell_angle_alpha 112.21
_cell_angle_beta 103.77
_cell_angle_gamma 94.67
loop_
_atom_site_label
_atom_site_type_symbol
_atom_site_fract_x
_atom_site_fract_y
_atom_site_fract_z
Zn1 Zn 0.500 0.500 0.500
Zn2 Zn 0.000 0.000 0.500
Sb1 Sb 0.500 0.500 0.000
Mn1 Mn 0.000 0.000 0.000
# - DFT total energy: -16.5 eV per cell
# - Raw formation energy: 0.24 eV/atom
# - Density of states at the Fermi level: 1.70 states/eV/f.u.
# - ρ: 7.50 g/cm3
# - Total moment: 3.14 μB/f.u.

[8]
# GGA-PBEsol MnZn3Sb, optimized geometry
data_MnZn3Sb
_chemical_formula_sum 'Mn1 Zn3 Sb1'
_space_group_name_H-M_alt 'P 1'
_space_group_IT_number 1
_space_group_name_Hall 'P 1'
_cell_length_a 5.130
_cell_length_b 5.130
_cell_length_c 5.130
_cell_angle_alpha 90.00
_cell_angle_beta 90.00
_cell_angle_gamma 90.00
loop_
_atom_site_label
_atom_site_type_symbol
_atom_site_fract_x
_atom_site_fract_y
_atom_site_fract_z
Zn1 Zn 0.000 0.000 0.500
Zn2 Zn 0.000 0.500 0.000
Zn3 Zn 0.500 0.000 0.000
Mn1 Mn 0.500 0.500 0.500
Sb1 Sb 0.000 0.000 0.000
# - DFT total energy: -13.6 eV per cell
# - Raw formation energy: 1.08 eV/atom
# - Density of states at the Fermi level: 3.59 states/eV/f.u.
# - ρ: 4.59 g/cm3
# - Total moment: 4.72 μB/f.u.

[9]
# GGA-PBEsol Mn2Zn2Sb, optimized geometry
data_Mn2Zn2Sb
_chemical_formula_sum 'Mn2 Zn2 Sb1'
_space_group_name_H-M_alt 'P 1'
_space_group_IT_number 1
_space_group_name_Hall 'P 1'
_cell_length_a 3.887
_cell_length_b 3.887
_cell_length_c 6.252
_cell_angle_alpha 108.11
_cell_angle_beta 108.11
_cell_angle_gamma 90.00
loop_
_atom_site_label
_atom_site_type_symbol
_atom_site_fract_x
_atom_site_fract_y
_atom_site_fract_z
Sb1 Sb 0.000 0.000 0.000
Zn1 Zn 0.393 0.393 0.787
Zn2 Zn 0.607 0.607 0.213
Mn1 Mn 0.250 0.750 0.500
Mn2 Mn 0.750 0.250 0.500
# - DFT total energy: -24.9 eV per cell
# - Raw formation energy: 0.46 eV/atom
# - Density of states at the Fermi level: 3.79 states/eV/f.u.
# - ρ: 7.09 g/cm3
# - Total moment: 7.20 μB/f.u.

[10]
# GGA-PBEsol ZrMn2Sb, optimized geometry
data_ZrMn2Sb
_chemical_formula_sum 'Zr1 Mn2 Sb1'
_space_group_name_H-M_alt 'P 1'
_space_group_IT_number 1
_space_group_name_Hall 'P 1'
_cell_length_a 3.038
_cell_length_b 4.426
_cell_length_c 5.170
_cell_angle_alpha 90.00
_cell_angle_beta 93.93
_cell_angle_gamma 90.00
loop_
_atom_site_label
_atom_site_type_symbol
_atom_site_fract_x
_atom_site_fract_y
_atom_site_fract_z
Mn1 Mn 0.701 0.000 0.735
Mn2 Mn 0.299 0.000 0.265
Sb1 Sb 0.500 0.500 0.000
Zr1 Zr 0.000 0.500 0.500
# - DFT total energy: -32.4 eV per cell
# - Raw formation energy: 0.19 eV/atom
# - Density of states at the Fermi level: 4.09 states/eV/f.u.
# - ρ: 7.73 g/cm3
# - Total moment: 5.44 μB/f.u.

[11]
# GGA-PBEsol ZrMn2Sb, optimized geometry
data_ZrMn2Sb
_chemical_formula_sum 'Zr1 Mn2 Sb1'
_space_group_name_H-M_alt 'P 1'
_space_group_IT_number 1
_space_group_name_Hall 'P 1'
_cell_length_a 3.178
_cell_length_b 3.178
_cell_length_c 8.282
_cell_angle_alpha 78.94
_cell_angle_beta 78.94
_cell_angle_gamma 60.00
loop_
_atom_site_label
_atom_site_type_symbol
_atom_site_fract_x
_atom_site_fract_y
_atom_site_fract_z
Mn1 Mn 0.751 0.751 0.747
Mn2 Mn 0.249 0.249 0.253
Zr1 Zr 0.000 0.000 0.000
Sb1 Sb 0.500 0.500 0.500
# - DFT total energy: -31.6 eV per cell
# - Raw formation energy: 0.39 eV/atom
# - Density of states at the Fermi level: 4.59 states/eV/f.u.
# - ρ: 7.59 g/cm3
# - Total moment: 4.62 μB/f.u.

[12]
# GGA-PBEsol Zr2MnSb, optimized geometry
data_Zr2MnSb
_chemical_formula_sum 'Zr2 Mn1 Sb1'
_space_group_name_H-M_alt 'P 1'
_space_group_IT_number 1
_space_group_name_Hall 'P 1'
_cell_length_a 3.620
_cell_length_b 3.620
_cell_length_c 6.055
_cell_angle_alpha 90.00
_cell_angle_beta 90.00
_cell_angle_gamma 90.00
loop_
_atom_site_label
_atom_site_type_symbol
_atom_site_fract_x
_atom_site_fract_y
_atom_site_fract_z
Mn1 Mn 0.000 0.000 0.499
Zr1 Zr 0.500 0.500 0.265
Zr2 Zr 0.000 0.000 0.989
Sb1 Sb 0.500 0.500 0.747
# - DFT total energy: -33.1 eV per cell
# - Raw formation energy: -0.16 eV/atom
# - Density of states at the Fermi level: 4.19 states/eV/f.u.
# - ρ: 7.52 g/cm3
# - Total moment: 2.99 μB/f.u.

[13]
# GGA-PBEsol ZrMn2Sb, optimized geometry
data_ZrMn2Sb
_chemical_formula_sum 'Zr1 Mn2 Sb1'
_space_group_name_H-M_alt 'P 1'
_space_group_IT_number 1
_space_group_name_Hall 'P 1'
_cell_length_a 3.372
_cell_length_b 3.372
_cell_length_c 5.865
_cell_angle_alpha 90.00
_cell_angle_beta 90.00
_cell_angle_gamma 90.00
loop_
_atom_site_label
_atom_site_type_symbol
_atom_site_fract_x
_atom_site_fract_y
_atom_site_fract_z
Mn1 Mn 0.000 0.000 0.015
Mn2 Mn 0.500 0.500 0.240
Sb1 Sb 0.000 0.000 0.465
Zr1 Zr 0.500 0.500 0.779
# - DFT total energy: -32.8 eV per cell
# - Raw formation energy: 0.09 eV/atom
# - Density of states at the Fermi level: 3.52 states/eV/f.u.
# - ρ: 8.04 g/cm3
# - Total moment: 4.79 μB/f.u.

[14]
# GGA-PBEsol ZrMnSb, optimized geometry
data_ZrMnSb
_chemical_formula_sum 'Zr1 Mn1 Sb1'
_space_group_name_H-M_alt 'P 1'
_space_group_IT_number 1
_space_group_name_Hall 'P 1'
_cell_length_a 3.471
_cell_length_b 3.471
_cell_length_c 5.243
_cell_angle_alpha 109.33
_cell_angle_beta 109.33
_cell_angle_gamma 90.00
loop_
_atom_site_label
_atom_site_type_symbol
_atom_site_fract_x
_atom_site_fract_y
_atom_site_fract_z
Mn1 Mn 0.001 0.001 0.002
Zr1 Zr 0.343 0.343 0.685
Sb1 Sb 0.656 0.656 0.313
# - DFT total energy: -23.7 eV per cell
# - Raw formation energy: -0.11 eV/atom
# - Density of states at the Fermi level: 2.18 states/eV/f.u.
# - ρ: 7.97 g/cm3
# - Total moment: 2.35 μB/f.u.